Entry 1:
Material: MgHBr2
Method: DFT, SCAN
State: single point on PBEsol structure

Values from the calculation:
DFT total energy in Ry per atom: -0.9145
Crystal system: tetragonal
D(E_F) in states/eV per cell: 0.000

a b c (Å): 7.0645 7.0645 8.5660
angles (deg): 90.00 90.00 90.00
Space group I-42d (No. 122)
Inequivalent atoms, fractional coordinates:
1 Mg 0.0000 0.0000 0.0000 (multiplicity 4)
2 H 0.0000 0.0000 0.5000 (multiplicity 4)
3 Br 0.2040 0.7500 0.1250 (multiplicity 8)


Entry 2:
Material: MgZn2H12Br6O6
Method: DFT, SCAN
State: single point on PBEsol structure

Values from the calculation:
DFT total energy in Ry per atom: -0.7038
Crystal system: orthorhombic
D(E_F) in states/eV per cell: 0.000

a b c (Å): 7.5195 10.0487 10.7930
angles (deg): 90.00 90.00 90.00
Space group Immm (No. 71)
Inequivalent atoms, fractional coordinates:
1 Mg 0.0000 0.0000 0.0000 (multiplicity 2)
2 Zn 0.0000 0.5000 0.1505 (multiplicity 4)
3 H 0.0000 0.0808 0.2421 (multiplicity 8)
4 H 0.2275 0.3408 0.4274 (multiplicity 16)
5 Br 0.0000 0.3099 0.2843 (multiplicity 8)
6 Br 0.2436 0.5000 0.0000 (multiplicity 4)
7 O 0.0000 0.0000 0.1903 (multiplicity 4)
8 O 0.1943 0.1463 0.0000 (multiplicity 8)


Entry 3:
Material: MgHSeBr2
Method: DFT, SCAN
State: single point on PBEsol structure

Values from the calculation:
DFT total energy in Ry per atom: -0.9923
Crystal system: tetragonal
D(E_F) in states/eV per cell: 1.221

a b c (Å): 5.2188 5.2188 5.2346
angles (deg): 90.00 90.00 90.00
Space group P4/mmm (No. 123)
Inequivalent atoms, fractional coordinates:
1 Mg 0.0000 0.0000 0.0000 (multiplicity 1)
2 H 0.5000 0.5000 0.5000 (multiplicity 1)
3 Se 0.0000 0.0000 0.5000 (multiplicity 1)
4 Br 0.0000 0.5000 0.0000 (multiplicity 2)


Entry 4:
Material: Mn2HBr
Method: DFT, SCAN
State: single point on PBEsol structure

Values from the calculation:
Energy relative to the lowest polymorph listed for this composition in eV/atom: 0.000
DFT total energy in Ry per atom: -1.0977
Crystal system: tetragonal
D(E_F) in states/eV per cell: 0.715

a b c (Å): 5.9758 5.9758 6.1405
angles (deg): 90.00 90.00 90.00
Space group I-42d (No. 122)
Inequivalent atoms, fractional coordinates:
1 Mn 0.1287 0.7500 0.1250 (multiplicity 8)
2 H 0.0000 0.0000 0.0000 (multiplicity 4)
3 Br 0.0000 0.0000 0.5000 (multiplicity 4)


Entry 5:
Material: MnHBr2
Method: DFT, SCAN
State: single point on PBEsol structure

Values from the calculation:
DFT total energy in Ry per atom: -1.0971
Crystal system: trigonal
D(E_F) in states/eV per cell: 0.822

a b c (Å): 3.5731 3.5731 21.9377
angles (deg): 90.00 90.00 120.00
Space group R-3m (No. 166, hexagonal axes)
Inequivalent atoms, fractional coordinates:
1 Mn 0.0000 0.0000 0.0000 (multiplicity 3)
2 H 0.0000 0.0000 0.5000 (multiplicity 3)
3 Br 0.0000 0.0000 0.1046 (multiplicity 6)


Entry 6:
Material: Mn2HBr
Method: DFT, SCAN
State: single point on PBEsol structure

Values from the calculation:
Energy relative to the lowest polymorph listed for this composition in eV/atom: 1.030
DFT total energy in Ry per atom: -1.0220
Crystal system: cubic
D(E_F) in states/eV per cell: 7.910

a b c (Å): 5.4852 5.4852 5.4852
angles (deg): 90.00 90.00 90.00
Space group Fm-3m (No. 225)
Inequivalent atoms, fractional coordinates:
1 Mn 0.2500 0.2500 0.2500 (multiplicity 8)
2 H 0.0000 0.0000 0.0000 (multiplicity 4)
3 Br 0.0000 0.0000 0.5000 (multiplicity 4)


Entry 7:
Material: MnH4Br2O2
Method: DFT, SCAN
State: single point on PBEsol structure

Values from the calculation:
DFT total energy in Ry per atom: -0.7640
Crystal system: monoclinic
D(E_F) in states/eV per cell: 0.000

a b c (Å): 7.8098 8.7315 3.8511
angles (deg): 90.00 100.93 90.00
Space group C2/m (No. 12)
Inequivalent atoms, fractional coordinates:
1 Mn 0.0000 0.0000 0.0000 (multiplicity 2)
2 H 0.0850 0.3054 0.1528 (multiplicity 8)
3 Br 0.2453 0.0000 0.5804 (multiplicity 4)
4 O 0.0000 0.2380 0.0000 (multiplicity 4)


Entry 8:
Material: ZrMn2HBr
Method: DFT, SCAN
State: single point on PBEsol structure

Values from the calculation:
DFT total energy in Ry per atom: -1.2506
Crystal system: tetragonal
D(E_F) in states/eV per cell: 2.523

a b c (Å): 5.1164 5.1164 5.0683
angles (deg): 90.00 90.00 90.00
Space group P4/mmm (No. 123)
Inequivalent atoms, fractional coordinates:
1 Zr 0.0000 0.0000 0.0000 (multiplicity 1)
2 Mn 0.0000 0.5000 0.0000 (multiplicity 2)
3 H 0.5000 0.5000 0.5000 (multiplicity 1)
4 Br 0.0000 0.0000 0.5000 (multiplicity 1)